# 1
Below is a relaxed As4Ir crystal, with properties calculated at the PBE-GGA level.

## Properties
Symmetry: No. 15
Polymorph energy (0 for the lowest one) (meV/atom): 0
Calculated formation energy (eV per atom): 0.03
N(E_F) (states/eV per atom): 0.375

a b c (Å): 8.2555 5.9522 7.4404
angles (deg): 53.30 56.30 46.09
Last column: nearest neighbours and their distance in Å.
Positions (direct):
As 0.7898 0.7624 0.6117  2 Ir 2.47-2.48, 2 As 2.67-2.70
As 0.5541 0.1471 0.0085  3 As 2.54-2.70, 1 Ir 2.59
As 0.2904 0.6471 0.5085  3 As 2.54-2.70, 1 Ir 2.59
As 0.7096 0.3529 0.4915  3 As 2.54-2.70, 1 Ir 2.59
As 0.1640 0.7376 0.8883  2 Ir 2.47-2.48, 2 As 2.67-2.70
As 0.4459 0.8529 0.9915  3 As 2.54-2.70, 1 Ir 2.59
As 0.8360 0.2624 0.1117  2 Ir 2.47-2.48, 2 As 2.67-2.70
As 0.2102 0.2376 0.3883  2 Ir 2.47-2.48, 2 As 2.67-2.70
Ir 0.1456 0.2500 0.7500  6 As 2.47-2.59
Ir 0.8544 0.7500 0.2500  6 As 2.47-2.59


# 2
Below is a relaxed RbBa2SrHg crystal, with properties calculated at the PBE-GGA level.

## Properties
Symmetry: No. 123
Polymorph energy (0 for the lowest one) (meV/atom): 0
Calculated formation energy (eV per atom): -0.14
N(E_F) (states/eV per atom): 0.979

a b c (Å): 6.7753 6.7753 6.5965
angles (deg): 90.00 90.00 90.00
Last column: nearest neighbours and their distance in Å.
Positions (direct):
Ba 0.0000 0.5000 0.0000  2 Hg 3.39
Ba 0.5000 0.0000 0.0000  2 Hg 3.39
Rb 0.5000 0.5000 0.5000  8 Ba 4.73, 4 Sr 4.79
Hg 0.0000 0.0000 0.0000  2 Sr 3.30, 4 Ba 3.39
Sr 0.0000 0.0000 0.5000  2 Hg 3.30


# 3
Below is a relaxed AlZn2Pb crystal, with properties calculated at the PBE-GGA level.

## Properties
Symmetry: No. 160
Polymorph energy (0 for the lowest one) (meV/atom): 81
Calculated formation energy (eV per atom): 0.22
N(E_F) (states/eV per atom): 0.583

a b c (Å): 9.1504 9.1504 9.1504
angles (deg): 20.77 20.77 20.77
Last column: nearest neighbours and their distance in Å.
Positions (direct):
Zn 0.9866 0.9866 0.9866  3 Zn 2.63
Zn 0.2522 0.2522 0.2522  3 Zn 2.63, 3 Al 2.72
Al 0.5135 0.5135 0.5135  3 Zn 2.72
Pb 0.7477 0.7477 0.7477  3 Zn 3.17, 3 Al 3.27, 6 Pb 3.30


# 4
Below is a relaxed Sb2TePdW crystal, with properties calculated at the PBE-GGA level.

## Properties
Symmetry: No. 123
Polymorph energy (0 for the lowest one) (meV/atom): 384
N(E_F) (states/eV per atom): 0.525
Energy relative to the elements, uncorrected (meV/atom): 1220

a b c (Å): 5.0994 5.0994 5.2769
angles (deg): 90.00 90.00 90.00
Last column: nearest neighbours and their distance in Å.
Positions (direct):
Sb 0.5000 0.0000 0.0000  2 Pd 2.55
Sb 0.0000 0.5000 0.0000  2 Pd 2.55
Te 0.0000 0.0000 0.5000  2 Pd 2.64
W 0.5000 0.5000 0.5000  4 Te 3.61, 8 Sb 3.67
Pd 0.0000 0.0000 0.0000  4 Sb 2.55, 2 Te 2.64